A plane-wave DFT calculation with PBE was carried out for a geometry-optimized CsAg2GeAu structure.

It has space group P4/mmm (No. 123), with a = 5.1946 Å, b = 5.1946 Å, c = 5.1690 Å, α = 90.00°, β = 90.00° and γ = 90.00°. The distinct sites, in fractional coordinates, are Cs at (0.0000, 0.0000, 0.0000), Ag at (0.0000, 0.5000, 0.5000), Ge at (0.5000, 0.5000, 0.5000) and Au at (0.5000, 0.5000, 0.0000).

The formation energy from the elements comes out at 4.2 meV/atom. The value obtained for the magnetization is 0.0 μB per cell. For the density of states at the Fermi level, the calculation gives 1.19 states/eV/cell. For the total DFT energy (no corrections), the calculation gives -2.8859 eV/atom.